DFT (PBEsol) results for a relaxed structure of H2BrF.

Cell: 3.7206 3.7206 3.7206 Å, 60.00 60.00 60.00°
Positions (direct):
1 F 0.0000 0.0000 0.0000
2 H 0.7500 0.7500 0.7500
3 H 0.2500 0.2500 0.2500
4 Br 0.5000 0.5000 0.5000

Summary:
Space-group type: Fm-3m, No. 225
Uncorrected energy, eV per atom: -2.022



DFT (PBEsol) results for a relaxed structure of LaCuSb.

Cell: 4.3151 4.3767 4.3767 Å, 120.00 90.00 90.00°
Positions (direct):
1 Cu 0.1662 0.0000 0.0000
2 La 0.6669 0.3333 0.6667
3 Sb 0.1669 0.6667 0.3333

Summary:
Energy relative to the elements, uncorrected, meV per atom: -790.1
Space-group type: P-6m2, No. 187
Uncorrected energy, eV per atom: -5.536



DFT (PBEsol) results for a relaxed structure of Y3ScSn.

Cell: 5.6397 5.6397 5.6397 Å, 90.00 90.00 90.00°
Positions (direct):
1 Sn 0.0000 0.0000 0.0000
2 Sc 0.5000 0.5000 0.5000
3 Y 0.5000 0.0000 0.0000
4 Y 0.0000 0.0000 0.5000
5 Y 0.0000 0.5000 0.0000

Summary:
Energy of formation from the pure elements, eV per formula unit: 1.68
Space-group type: Pm-3m, No. 221
Uncorrected energy, eV per atom: -5.931



DFT (PBEsol) results for a relaxed structure of InSnTeI2.

Cell: 5.6472 5.9548 5.9548 Å, 90.00 90.00 90.00°
Positions (direct):
1 Te 0.5000 0.0000 0.0000
2 In 0.5000 0.5000 0.5000
3 Sn 0.0000 0.0000 0.0000
4 I 0.0000 0.0000 0.5000
5 I 0.0000 0.5000 0.0000

Summary:
Energy relative to the elements, uncorrected, meV per atom: -66.6
Space-group type: P4/mmm, No. 123
Uncorrected energy, eV per atom: -2.927



> Number 1 is which compound?

H2BrF



Please write out number 2 again, unchanged.
DFT (PBEsol) results for a relaxed structure of LaCuSb.

Cell: 4.3151 4.3767 4.3767 Å, 120.00 90.00 90.00°
Positions (direct):
1 Cu 0.1662 0.0000 0.0000
2 La 0.6669 0.3333 0.6667
3 Sb 0.1669 0.6667 0.3333

Summary:
Energy relative to the elements, uncorrected, meV per atom: -790.1
Space-group type: P-6m2, No. 187
Uncorrected energy, eV per atom: -5.536